Entry P
Computed, not measured: ZrCd2Pt2 after structural relaxation at the PBE level of DFT.

The structure in POSCAR format:
```
ZrCd2Pt2
1.0
7.016 0.000 0.000
0.000 7.016 0.000
0.000 0.000 4.057
Zr Cd Pt
2 4 4
direct
0.000 0.000 0.000
0.500 0.500 0.000
0.166 0.334 0.500
0.334 0.834 0.500
0.666 0.166 0.500
0.834 0.666 0.500
0.135 0.635 0.000
0.365 0.135 0.000
0.635 0.865 0.000
0.865 0.365 0.000
```

---

Entry Q
Computed, not measured: ZrCd2Pt2 after structural relaxation at the PBE level of DFT.

The structure in POSCAR format:
```
ZrCd2Pt2
1.0
8.003 0.000 0.000
0.000 8.003 0.000
0.000 0.000 2.945
Zr Cd Pt
2 4 4
direct
0.000 0.000 0.000
0.500 0.500 0.000
0.122 0.378 0.000
0.378 0.878 0.000
0.622 0.122 0.000
0.878 0.622 0.000
0.178 0.678 0.500
0.322 0.178 0.500
0.678 0.822 0.500
0.822 0.322 0.500
```

---

In terms of stability, entry P leads; the second structure lies 0.103 eV/atom higher.

---

Entry P
Computed, not measured: PuCd4 after structural relaxation at the PBE level of DFT.

The structure in POSCAR format:
```
PuCd4
1.0
6.161 0.000 0.000
0.000 6.161 0.000
0.000 0.000 6.161
Pu Cd
1 4
direct
0.000 0.000 0.000
0.000 0.000 0.500
0.000 0.500 0.000
0.500 0.000 0.000
0.500 0.500 0.500
```

---

Entry Q
Computed, not measured: PuCd4 after structural relaxation at the PBE level of DFT.

The structure in POSCAR format:
```
PuCd4
1.0
-2.419 6.339 7.993
2.419 -6.339 7.993
2.419 6.339 -7.993
Pu Cd
4 16
direct
0.101 0.101 0.000
0.373 0.500 0.873
0.627 0.500 0.127
0.899 0.899 0.000
0.048 0.687 0.361
0.123 0.500 0.623
0.146 0.886 0.260
0.177 0.294 0.883
0.325 0.687 0.639
0.374 0.114 0.260
0.392 0.892 0.500
0.411 0.294 0.117
0.589 0.706 0.883
0.608 0.108 0.500
0.626 0.886 0.740
0.675 0.313 0.361
0.823 0.706 0.117
0.854 0.114 0.740
0.877 0.500 0.377
0.952 0.313 0.639
```

---

In terms of stability, entry Q leads; the second structure lies 0.812 eV/atom higher.

---

Entry P
Computed, not measured: Pu2CdRh after structural relaxation at the PBE level of DFT.

The structure in POSCAR format:
```
Pu2CdRh
1.0
5.437 0.000 0.000
0.000 5.437 0.000
0.000 0.000 3.077
Pu Cd Rh
2 1 1
direct
0.000 0.500 0.000
0.500 0.000 0.000
0.000 0.000 0.500
0.500 0.500 0.500
```

---

Entry Q
Computed, not measured: Pu2CdRh after structural relaxation at the PBE level of DFT.

The structure in POSCAR format:
```
Pu2CdRh
1.0
7.180 0.000 0.000
0.000 7.180 0.000
0.000 0.000 7.180
Pu Cd Rh
8 4 4
direct
0.250 0.250 0.250
0.250 0.250 0.750
0.250 0.750 0.250
0.250 0.750 0.750
0.750 0.250 0.250
0.750 0.250 0.750
0.750 0.750 0.250
0.750 0.750 0.750
0.000 0.000 0.000
0.000 0.500 0.500
0.500 0.000 0.500
0.500 0.500 0.000
0.000 0.000 0.500
0.000 0.500 0.000
0.500 0.000 0.000
0.500 0.500 0.500
```

---

In terms of stability, entry Q leads; the second structure lies 0.028 eV/atom higher.

---

Entry P
Computed, not measured: Pu2CdRh after structural relaxation at the PBE level of DFT.

The structure in POSCAR format:
```
Pu2CdRh
1.0
2.984 0.000 0.000
-1.492 2.584 0.000
0.000 0.000 34.111
Pu Cd Rh
6 3 3
direct
0.000 0.000 0.096
0.000 0.000 0.904
0.333 0.667 0.570
0.333 0.667 0.763
0.667 0.333 0.237
0.667 0.333 0.430
0.000 0.000 0.000
0.333 0.667 0.667
0.667 0.333 0.333
0.000 0.000 0.500
0.333 0.667 0.167
0.667 0.333 0.833
```

---

Entry Q
Computed, not measured: Pu2CdRh after structural relaxation at the PBE level of DFT.

The structure in POSCAR format:
```
Pu2CdRh
1.0
3.304 0.000 0.000
0.000 3.304 0.000
0.000 0.000 8.501
Pu Cd Rh
2 1 1
direct
0.000 0.000 0.209
0.000 0.000 0.791
0.500 0.500 0.500
0.500 0.500 0.000
```

---

In terms of stability, entry Q leads; the second structure lies 0.413 eV/atom higher.

---

Entry P
Computed, not measured: Pu2CdRh3 after structural relaxation at the PBE level of DFT.

The structure in POSCAR format:
```
Pu2CdRh3
1.0
4.499 0.000 0.000
0.000 13.984 0.000
0.000 0.000 3.610
Pu Cd Rh
4 2 6
direct
0.000 0.162 0.000
0.000 0.838 0.000
0.500 0.338 0.000
0.500 0.662 0.000
0.000 0.500 0.000
0.500 0.000 0.000
0.000 0.000 0.500
0.000 0.337 0.500
0.000 0.663 0.500
0.500 0.163 0.500
0.500 0.500 0.500
0.500 0.837 0.500
```

---

Entry Q
Computed, not measured: Pu2CdRh3 after structural relaxation at the PBE level of DFT.

The structure in POSCAR format:
```
Pu2CdRh3
1.0
6.951 -4.694 0.000
6.951 4.694 0.000
-0.906 0.000 3.735
Pu Cd Rh
4 2 6
direct
0.025 0.688 0.620
0.312 0.975 0.880
0.688 0.025 0.120
0.975 0.312 0.380
0.390 0.610 0.250
0.610 0.390 0.750
0.102 0.898 0.250
0.181 0.390 0.011
0.390 0.181 0.511
0.610 0.819 0.489
0.819 0.610 0.989
0.898 0.102 0.750
```

---

In terms of stability, entry P leads; the second structure lies 0.104 eV/atom higher.

---

Entry P
Computed, not measured: TbPuCdRu after structural relaxation at the PBE level of DFT.

The structure in POSCAR format:
```
TbPuCdRu
1.0
3.337 0.000 0.000
0.000 3.337 0.000
0.000 0.000 8.328
Tb Pu Cd Ru
1 1 1 1
direct
0.000 0.000 0.000
0.000 0.000 0.585
0.500 0.500 0.290
0.500 0.500 0.789
```

---

Entry Q
Computed, not measured: TbPuCdRu after structural relaxation at the PBE level of DFT.

The structure in POSCAR format:
```
TbPuCdRu
1.0
7.143 0.000 0.000
0.000 7.143 0.000
0.000 0.000 7.143
Tb Pu Cd Ru
4 4 4 4
direct
0.000 0.000 0.000
0.000 0.500 0.500
0.500 0.000 0.500
0.500 0.500 0.000
0.000 0.000 0.500
0.000 0.500 0.000
0.500 0.000 0.000
0.500 0.500 0.500
0.250 0.250 0.750
0.250 0.750 0.250
0.750 0.250 0.250
0.750 0.750 0.750
0.250 0.250 0.250
0.250 0.750 0.750
0.750 0.250 0.750
0.750 0.750 0.250
```

---

In terms of stability, entry P leads; the second structure lies 0.160 eV/atom higher.

---

Entry P
Computed, not measured: Pu2CdSe after structural relaxation at the PBE level of DFT.

The structure in POSCAR format:
```
Pu2CdSe
1.0
3.515 0.000 0.000
0.000 3.515 0.000
0.000 0.000 8.082
Pu Cd Se
2 1 1
direct
0.000 0.000 0.221
0.000 0.000 0.779
0.500 0.500 0.500
0.500 0.500 0.000
```

---

Entry Q
Computed, not measured: Pu2CdSe after structural relaxation at the PBE level of DFT.

The structure in POSCAR format:
```
Pu2CdSe
1.0
3.831 0.000 0.000
-1.916 3.318 0.000
0.000 0.000 26.373
Pu Cd Se
6 3 3
direct
0.000 0.000 0.238
0.000 0.000 0.762
0.333 0.667 0.428
0.333 0.667 0.905
0.667 0.333 0.095
0.667 0.333 0.572
0.000 0.000 0.000
0.333 0.667 0.667
0.667 0.333 0.333
0.000 0.000 0.500
0.333 0.667 0.167
0.667 0.333 0.833
```

---

In terms of stability, entry P leads; the second structure lies 0.063 eV/atom higher.

---

Entry P
Computed, not measured: PuCdSi2 after structural relaxation at the PBE level of DFT.

The structure in POSCAR format:
```
PuCdSi2
1.0
4.408 0.000 0.000
0.000 4.408 0.000
0.000 0.000 3.995
Pu Cd Si
1 1 2
direct
0.000 0.000 0.000
0.500 0.500 0.000
0.000 0.500 0.500
0.500 0.000 0.500
```

---

Entry Q
Computed, not measured: PuCdSi2 after structural relaxation at the PBE level of DFT.

The structure in POSCAR format:
```
PuCdSi2
1.0
6.801 0.000 0.000
0.000 6.801 0.000
0.000 0.000 6.801
Pu Cd Si
4 4 8
direct
0.000 0.000 0.000
0.000 0.500 0.500
0.500 0.000 0.500
0.500 0.500 0.000
0.000 0.000 0.500
0.000 0.500 0.000
0.500 0.000 0.000
0.500 0.500 0.500
0.250 0.250 0.250
0.250 0.250 0.750
0.250 0.750 0.250
0.250 0.750 0.750
0.750 0.250 0.250
0.750 0.250 0.750
0.750 0.750 0.250
0.750 0.750 0.750
```

---

In terms of stability, entry P leads; the second structure lies 0.155 eV/atom higher.

---

Entry P
Computed, not measured: Sm2PuCd after structural relaxation at the PBE level of DFT.

The structure in POSCAR format:
```
Sm2PuCd
1.0
3.420 0.000 0.000
-1.710 2.962 0.000
0.000 0.000 35.913
Sm Pu Cd
6 3 3
direct
0.000 0.000 0.092
0.000 0.000 0.908
0.333 0.667 0.574
0.333 0.667 0.759
0.667 0.333 0.241
0.667 0.333 0.426
0.000 0.000 0.000
0.333 0.667 0.667
0.667 0.333 0.333
0.000 0.000 0.500
0.333 0.667 0.167
0.667 0.333 0.833
```

---

Entry Q
Computed, not measured: Sm2PuCd after structural relaxation at the PBE level of DFT.

The structure in POSCAR format:
```
Sm2PuCd
1.0
7.748 0.000 0.000
0.000 7.748 0.000
0.000 0.000 7.748
Sm Pu Cd
8 4 4
direct
0.250 0.250 0.250
0.250 0.250 0.750
0.250 0.750 0.250
0.250 0.750 0.750
0.750 0.250 0.250
0.750 0.250 0.750
0.750 0.750 0.250
0.750 0.750 0.750
0.000 0.000 0.000
0.000 0.500 0.500
0.500 0.000 0.500
0.500 0.500 0.000
0.000 0.000 0.500
0.000 0.500 0.000
0.500 0.000 0.000
0.500 0.500 0.500
```

---

Entry R
Computed, not measured: Sm2PuCd after structural relaxation at the PBE level of DFT.

The structure in POSCAR format:
```
Sm2PuCd
1.0
3.566 0.000 0.000
0.000 3.566 0.000
0.000 0.000 9.144
Sm Pu Cd
2 1 1
direct
0.000 0.000 0.235
0.000 0.000 0.765
0.500 0.500 0.500
0.500 0.500 0.000
```

---

Entry S
Computed, not measured: Sm2PuCd after structural relaxation at the PBE level of DFT.

The structure in POSCAR format:
```
Sm2PuCd
1.0
5.568 0.000 0.000
0.000 5.568 0.000
0.000 0.000 3.653
Sm Pu Cd
2 1 1
direct
0.000 0.500 0.000
0.500 0.000 0.000
0.000 0.000 0.500
0.500 0.500 0.500
```

---

In terms of stability, entry R leads; the second structure lies 0.016 eV/atom higher.

---

Entry P
Computed, not measured: Tb2PuCd after structural relaxation at the PBE level of DFT.

The structure in POSCAR format:
```
Tb2PuCd
1.0
3.500 0.000 0.000
0.000 3.500 0.000
0.000 0.000 9.138
Tb Pu Cd
2 1 1
direct
0.000 0.000 0.235
0.000 0.000 0.765
0.500 0.500 0.500
0.500 0.500 0.000
```

---

Entry Q
Computed, not measured: Tb2PuCd after structural relaxation at the PBE level of DFT.

The structure in POSCAR format:
```
Tb2PuCd
1.0
3.397 0.000 0.000
-1.699 2.942 0.000
0.000 0.000 35.473
Tb Pu Cd
6 3 3
direct
0.000 0.000 0.093
0.000 0.000 0.907
0.333 0.667 0.574
0.333 0.667 0.760
0.667 0.333 0.240
0.667 0.333 0.426
0.000 0.000 0.000
0.333 0.667 0.667
0.667 0.333 0.333
0.000 0.000 0.500
0.333 0.667 0.167
0.667 0.333 0.833
```

---

Entry R
Computed, not measured: Tb2PuCd after structural relaxation at the PBE level of DFT.

The structure in POSCAR format:
```
Tb2PuCd
1.0
7.656 0.000 0.000
0.000 7.656 0.000
0.000 0.000 7.656
Tb Pu Cd
8 4 4
direct
0.250 0.250 0.250
0.250 0.250 0.750
0.250 0.750 0.250
0.250 0.750 0.750
0.750 0.250 0.250
0.750 0.250 0.750
0.750 0.750 0.250
0.750 0.750 0.750
0.000 0.000 0.000
0.000 0.500 0.500
0.500 0.000 0.500
0.500 0.500 0.000
0.000 0.000 0.500
0.000 0.500 0.000
0.500 0.000 0.000
0.500 0.500 0.500
```

---

In terms of stability, entry P leads; the second structure lies 0.126 eV/atom higher.

---

Entry P
Computed, not measured: PuCdTc after structural relaxation at the PBE level of DFT.

The structure in POSCAR format:
```
PuCdTc
1.0
4.310 0.000 0.000
-2.152 5.024 0.000
-0.006 -0.998 5.867
Pu Cd Tc
2 2 2
direct
0.007 0.015 0.232
0.993 0.985 0.768
0.328 0.657 0.427
0.672 0.343 0.573
0.281 0.563 0.927
0.719 0.437 0.073
```

---

Entry Q
Computed, not measured: PuCdTc after structural relaxation at the PBE level of DFT.

The structure in POSCAR format:
```
PuCdTc
1.0
9.925 0.000 0.000
0.000 3.076 0.000
-3.227 0.000 8.046
Pu Cd Tc
4 4 4
direct
0.013 0.000 0.320
0.487 0.500 0.680
0.513 0.500 0.320
0.987 0.000 0.680
0.157 0.500 0.072
0.343 0.000 0.928
0.657 0.000 0.072
0.843 0.500 0.928
0.220 0.500 0.619
0.280 0.000 0.381
0.720 0.000 0.619
0.780 0.500 0.381
```

---

In terms of stability, entry Q leads; the second structure lies 0.138 eV/atom higher.

---

Entry P
Computed, not measured: PuTh2Cd after structural relaxation at the PBE level of DFT.

The structure in POSCAR format:
```
PuTh2Cd
1.0
3.477 0.000 0.000
-1.739 3.011 0.000
0.000 0.000 33.641
Pu Th Cd
3 6 3
direct
0.000 0.000 0.000
0.333 0.667 0.667
0.667 0.333 0.333
0.000 0.000 0.417
0.000 0.000 0.583
0.333 0.667 0.084
0.333 0.667 0.249
0.667 0.333 0.751
0.667 0.333 0.916
0.000 0.000 0.167
0.333 0.667 0.833
0.667 0.333 0.500
```

---

Entry Q
Computed, not measured: PuTh2Cd after structural relaxation at the PBE level of DFT.

The structure in POSCAR format:
```
PuTh2Cd
1.0
3.357 0.000 0.000
-1.678 2.907 0.000
0.000 0.000 36.523
Pu Th Cd
3 6 3
direct
0.000 0.000 0.000
0.333 0.667 0.667
0.667 0.333 0.333
0.000 0.000 0.089
0.000 0.000 0.911
0.333 0.667 0.578
0.333 0.667 0.756
0.667 0.333 0.244
0.667 0.333 0.422
0.000 0.000 0.500
0.333 0.667 0.167
0.667 0.333 0.833
```

---

In terms of stability, entry P leads; the second structure lies 0.147 eV/atom higher.